# Sc4ZnHg5 | Alexandria | PBE-GGA | optimized geometry
data_Sc4ZnHg5
_cell_length_a 3.522
_cell_length_b 3.522
_cell_length_c 17.201
_cell_angle_alpha 90.00
_cell_angle_beta 90.00
_cell_angle_gamma 90.00
_space_group_name_H-M_alt 'P 4/m m m'
_space_group_IT_number 123
_space_group_name_Hall '-P 4 2'
loop_
_atom_site_label
_atom_site_fract_x
_atom_site_fract_y
_atom_site_fract_z
Sc1 0.000 0.000 0.103
Sc2 0.000 0.000 0.308
Zn1 0.000 0.000 0.500
Hg1 0.500 0.500 0.000
Hg2 0.500 0.500 0.202
Hg3 0.500 0.500 0.406
# Crystal system ... tetragonal
# E_form ... -0.324 eV/atom